Compound: SrCaDy2Te4
Source: Alexandria
Functional: PBE
Structure: relaxed Values from VASP.

```
&SYSTEM
  ibrav = 0, nat = 8, ntyp = 4
/
ATOMIC_SPECIES
Sr 87.62 Sr.upf
Ca 40.08 Ca.upf
Dy 162.50 Dy.upf
Te 127.60 Te.upf
CELL_PARAMETERS angstrom
-3.362 2.903 0.009
-2.193 -2.517 -7.130
-4.994 -5.787 0.807
ATOMIC_POSITIONS angstrom
Sr -7.772 -5.594 -2.754
Ca -3.594 -4.152 -3.162
Dy -4.994 -5.787 0.807
Dy -4.178 -1.442 0.408
Te -5.373 -6.207 -4.853
Te -5.177 0.806 -1.462
Te -4.606 -1.920 -5.214
Te -5.943 -3.482 -1.100
```

Summary:
The size of the total moment is 0.000 μB per atom. For the volume, the calculation gives 31.8 Å³/atom. As for the raw total energy: -37.17 eV/cell.


Compound: SrCaDy2Tl4
Source: Alexandria
Functional: PBE
Structure: relaxed Values from VASP.

```
&SYSTEM
  ibrav = 0, nat = 8, ntyp = 4
/
ATOMIC_SPECIES
Sr 87.62 Sr.upf
Ca 40.08 Ca.upf
Dy 162.50 Dy.upf
Tl 204.38 Tl.upf
CELL_PARAMETERS angstrom
5.495 0.000 0.000
2.748 4.759 0.000
2.748 1.586 9.004
ATOMIC_POSITIONS angstrom
Sr 0.000 0.000 0.000
Ca 5.495 3.173 4.502
Dy 8.243 4.759 6.707
Dy 2.748 1.586 2.297
Tl 5.495 3.173 7.826
Tl 8.243 4.759 3.419
Tl 2.748 1.586 5.585
Tl 5.495 3.173 1.178
```

Summary:
The size of the total moment is 0.000 μB per atom. For the volume, the calculation gives 29.4 Å³/atom. As for the raw total energy: -25.08 eV/cell. The energy relative to the elements is -0.341 eV per atom.


Compound: CaTb7Dy2
Source: Alexandria
Functional: PBE
Structure: relaxed Values from VASP.

```
&SYSTEM
  ibrav = 0, nat = 10, ntyp = 3
/
ATOMIC_SPECIES
Ca 40.08 Ca.upf
Tb 158.93 Tb.upf
Dy 162.50 Dy.upf
CELL_PARAMETERS angstrom
5.937 -1.386 -1.093
-1.236 7.910 -5.110
-1.969 -1.775 9.102
ATOMIC_POSITIONS angstrom
Ca 0.000 0.000 0.000
Tb -1.669 5.914 0.719
Tb 4.400 -1.165 2.180
Tb -0.671 3.630 3.365
Tb 3.402 1.119 -0.466
Tb -0.180 5.660 -2.457
Tb 2.912 -0.911 5.356
Tb 2.350 3.262 -3.101
Dy 0.835 3.521 0.108
Dy 1.896 1.228 2.791
```

Summary:
The size of the total moment is 0.000 μB per atom. For the volume, the calculation gives 32.5 Å³/atom. As for the raw total energy: -43.13 eV/cell. The energy relative to the elements is 0.049 eV per atom.


Compound: CaTbDy2
Source: Alexandria
Functional: PBE
Structure: relaxed Values from VASP.

```
&SYSTEM
  ibrav = 0, nat = 4, ntyp = 3
/
ATOMIC_SPECIES
Ca 40.08 Ca.upf
Tb 158.93 Tb.upf
Dy 162.50 Dy.upf
CELL_PARAMETERS angstrom
3.614 0.000 0.000
0.000 3.614 0.000
0.000 0.000 10.358
ATOMIC_POSITIONS angstrom
Ca 1.807 1.807 5.179
Tb 1.807 1.807 0.000
Dy 0.000 0.000 7.970
Dy 0.000 0.000 2.388
```

Summary:
The relative energy among the computed polymorphs is 0.011 eV per atom. The size of the total moment is 0.000 μB per atom. For the volume, the calculation gives 33.8 Å³/atom. As for the raw total energy: -15.55 eV/cell. The energy relative to the elements is 0.072 eV per atom.


Compound: CaTbDy
Source: Alexandria
Functional: PBE
Structure: relaxed Values from VASP.

```
&SYSTEM
  ibrav = 0, nat = 3, ntyp = 3
/
ATOMIC_SPECIES
Ca 40.08 Ca.upf
Tb 158.93 Tb.upf
Dy 162.50 Dy.upf
CELL_PARAMETERS angstrom
-2.431 -2.360 1.320
1.843 -0.147 3.131
-3.943 7.170 0.546
ATOMIC_POSITIONS angstrom
Ca -0.002 0.002 0.001
Tb -2.742 3.829 1.794
Dy -1.788 0.832 3.203
```

Summary:
The relative energy among the computed polymorphs is 0.015 eV per atom. The size of the total moment is 0.000 μB per atom. For the volume, the calculation gives 34.3 Å³/atom. As for the raw total energy: -11.05 eV/cell. The energy relative to the elements is 0.062 eV per atom.


Compound: CaTb5Dy3
Source: Alexandria
Functional: PBE
Structure: relaxed Values from VASP.

```
&SYSTEM
  ibrav = 0, nat = 18, ntyp = 3
/
ATOMIC_SPECIES
Ca 40.08 Ca.upf
Tb 158.93 Tb.upf
Dy 162.50 Dy.upf
CELL_PARAMETERS angstrom
9.840 0.000 0.000
-4.920 8.453 -0.713
0.000 0.588 6.970
ATOMIC_POSITIONS angstrom
Ca 6.391 0.441 5.227
Ca 3.449 0.147 1.742
Tb 3.027 0.441 5.227
Tb 3.454 6.198 4.742
Tb 8.066 3.123 1.492
Tb 1.466 2.843 1.515
Tb 3.146 5.623 1.280
Tb 6.813 0.147 1.742
Tb 6.386 5.904 1.257
Tb -1.466 3.137 5.000
Tb 1.774 3.417 4.977
Tb -3.146 5.917 4.765
Dy 0.000 0.000 0.000
Dy 4.920 3.188 3.241
Dy 0.000 0.294 3.485
Dy 0.000 5.853 3.016
Dy 4.920 2.894 -0.244
Dy 0.000 6.147 6.501
```

Summary:
The size of the total moment is 0.000 μB per atom. For the volume, the calculation gives 32.4 Å³/atom. As for the raw total energy: -76.23 eV/cell. The energy relative to the elements is 0.094 eV per atom.


Compound: CaTb3Dy3
Source: Alexandria
Functional: PBE
Structure: relaxed Values from VASP.

```
&SYSTEM
  ibrav = 0, nat = 14, ntyp = 3
/
ATOMIC_SPECIES
Ca 40.08 Ca.upf
Tb 158.93 Tb.upf
Dy 162.50 Dy.upf
CELL_PARAMETERS angstrom
8.010 0.000 3.160
3.382 7.260 3.160
1.101 0.701 8.943
ATOMIC_POSITIONS angstrom
Ca 7.503 4.782 4.444
Ca 4.990 3.179 10.820
Tb 3.952 3.363 5.510
Tb 8.810 2.162 7.123
Tb 7.006 7.072 7.646
Tb 5.486 0.889 7.618
Tb 3.682 5.799 8.140
Tb 8.540 4.598 9.753
Dy 5.961 6.579 10.858
Dy 7.759 1.076 10.185
Dy 2.410 2.626 8.466
Dy 10.082 5.334 6.797
Dy 4.733 6.885 5.079
Dy 6.531 1.382 4.405
```

Summary:
The size of the total moment is 0.000 μB per atom. For the volume, the calculation gives 34.6 Å³/atom. As for the raw total energy: -56.08 eV/cell. The energy relative to the elements is 0.237 eV per atom.


Compound: CaTb7Dy4
Source: Alexandria
Functional: PBE
Structure: relaxed Values from VASP.

```
&SYSTEM
  ibrav = 0, nat = 12, ntyp = 3
/
ATOMIC_SPECIES
Ca 40.08 Ca.upf
Tb 158.93 Tb.upf
Dy 162.50 Dy.upf
CELL_PARAMETERS angstrom
6.392 -1.887 2.756
0.741 5.780 2.241
2.773 -2.327 10.847
ATOMIC_POSITIONS angstrom
Ca 0.000 0.000 0.000
Tb 7.895 -0.837 14.013
Tb 2.011 2.403 1.830
Tb 2.583 -0.071 8.047
Tb 7.323 1.637 7.796
Tb 4.576 2.299 9.831
Tb 3.196 -0.944 1.378
Tb 5.330 -0.733 6.013
Dy 4.081 2.590 6.397
Dy 5.825 -1.024 9.446
Dy 7.744 1.383 11.287
Dy 2.162 0.183 4.556
```

Summary:
The size of the total moment is 0.000 μB per atom. For the volume, the calculation gives 32.4 Å³/atom. As for the raw total energy: -52.47 eV/cell. The energy relative to the elements is 0.029 eV per atom.


Compound: CaTbDy
Source: Alexandria
Functional: PBE
Structure: relaxed Values from VASP.

```
&SYSTEM
  ibrav = 0, nat = 6, ntyp = 3
/
ATOMIC_SPECIES
Tb 158.93 Tb.upf
Dy 162.50 Dy.upf
Ca 40.08 Ca.upf
CELL_PARAMETERS angstrom
4.903 0.000 0.000
0.000 4.903 0.000
0.000 0.000 8.873
ATOMIC_POSITIONS angstrom
Tb 0.000 2.452 6.368
Tb 2.452 0.000 2.505
Dy 2.452 2.452 0.000
Dy 0.000 0.000 0.000
Ca 2.452 0.000 6.013
Ca 0.000 2.452 2.860
```

Summary:
The relative energy among the computed polymorphs is 0.225 eV per atom. The size of the total moment is 0.000 μB per atom. For the volume, the calculation gives 35.6 Å³/atom. As for the raw total energy: -20.83 eV/cell. The energy relative to the elements is 0.273 eV per atom.


Compound: CaTb12Dy7
Source: Alexandria
Functional: PBE
Structure: relaxed Values from VASP.

```
&SYSTEM
  ibrav = 0, nat = 20, ntyp = 3
/
ATOMIC_SPECIES
Ca 40.08 Ca.upf
Tb 158.93 Tb.upf
Dy 162.50 Dy.upf
CELL_PARAMETERS angstrom
9.270 0.000 -3.278
-4.635 8.028 -3.278
0.000 0.000 9.833
ATOMIC_POSITIONS angstrom
Ca 0.000 0.000 0.000
Tb 1.051 5.954 3.283
Tb 5.824 5.954 -3.174
Tb 3.584 2.074 -0.006
Tb -1.189 2.074 6.452
Tb 6.880 0.007 0.103
Tb 4.639 3.888 3.272
Tb -2.244 8.021 3.174
Tb -0.004 4.141 0.006
Tb 3.434 5.961 -0.103
Tb 1.201 2.067 3.381
Tb 5.682 2.067 6.549
Tb -1.047 5.961 -3.272
Dy 2.318 4.014 -3.278
Dy -2.318 4.014 3.278
Dy 4.635 0.000 3.278
Dy 2.318 4.014 1.639
Dy 0.000 0.000 4.916
Dy 4.635 0.000 -1.639
Dy -2.318 4.014 -1.639
```

Summary:
The size of the total moment is 0.000 μB per atom. For the volume, the calculation gives 36.6 Å³/atom. As for the raw total energy: -76.41 eV/cell. The energy relative to the elements is 0.668 eV per atom.


Compound: CaTbDy2
Source: Alexandria
Functional: PBE
Structure: relaxed Values from VASP.

```
&SYSTEM
  ibrav = 0, nat = 4, ntyp = 3
/
ATOMIC_SPECIES
Ca 40.08 Ca.upf
Tb 158.93 Tb.upf
Dy 162.50 Dy.upf
CELL_PARAMETERS angstrom
5.114 0.000 0.000
0.000 5.093 0.000
0.000 0.000 5.093
ATOMIC_POSITIONS angstrom
Ca 2.557 0.000 0.000
Tb 2.557 2.547 2.547
Dy 0.000 0.000 2.547
Dy 0.000 2.547 0.000
```

Summary:
The relative energy among the computed polymorphs is 0.071 eV per atom. The size of the total moment is 0.000 μB per atom. For the volume, the calculation gives 33.2 Å³/atom. As for the raw total energy: -15.31 eV/cell. The energy relative to the elements is 0.132 eV per atom.